! Zr2AsC PBE-GGA optimized geometry; values from VASP
! Space group: R-3m (166)
! Calculated volume: 66.6 Å³/f.u.
! Energy of formation from the pure elements: -921 meV per atom
&SYSTEM
  ibrav = 0, nat = 4, ntyp = 3
/
ATOMIC_SPECIES
Zr 91.22 Zr.upf
As 74.92 As.upf
C 12.01 C.upf
CELL_PARAMETERS angstrom
1.7549 1.0132 6.2384
-1.7549 1.0132 6.2384
0.0000 -2.0264 6.2384
ATOMIC_POSITIONS crystal
Zr 0.2338 0.2338 0.2338
Zr 0.7662 0.7662 0.7662
As 0.0000 0.0000 0.0000
C 0.5000 0.5000 0.5000